# 1
Below is a geometry-optimized Li5Mg structure, with properties calculated at the PBEsol level.

Computed properties:
**Calculated formation energy**: -0.13 eV/f.u.
**DOS at the Fermi energy**: 0.4394 states/eV/atom
**Space group**: C2

Cell: 5.2571 5.2571 5.8944 Å, 62.10 62.10 60.14°
Fractional coordinates of all 6 atoms:
Mg 0.0000 0.0000 0.0000
Li 0.1680 0.5008 0.4990
Li 0.4992 0.8320 0.5010
Li 0.8325 0.1675 0.5000
Li 0.3331 0.3328 0.0009
Li 0.6672 0.6669 0.9991



# 2
Below is a geometry-optimized AgAsI2O structure, with properties calculated at the PBEsol level.

Computed properties:
**DOS at the Fermi energy**: 0.9408 states/eV/atom
**Space group**: P4/mmm
**Uncorrected formation energy**: 0.496 eV/atom

Cell: 3.8851 5.5412 5.5412 Å, 90.00 90.00 90.00°
Fractional coordinates of all 5 atoms:
I 0.0000 0.0000 0.5000
I 0.0000 0.5000 0.0000
As 0.5000 0.5000 0.5000
O 0.5000 0.0000 0.0000
Ag 0.0000 0.0000 0.0000



# 3
Below is a geometry-optimized Cu2IrBr structure, with properties calculated at the PBEsol level.

Computed properties:
**DOS at the Fermi energy**: 0.4743 states/eV/atom
**Space group**: C2/m
**Uncorrected formation energy**: 0.664 eV/atom

Cell: 2.9335 4.6835 4.5978 Å, 102.82 90.00 108.25°
Fractional coordinates of all 4 atoms:
Br 0.5000 0.0000 0.0000
Cu 0.7444 0.4887 0.7204
Cu 0.2556 0.5113 0.2796
Ir 0.0000 0.0000 0.5000



# 4
Below is a geometry-optimized AsIN2 structure, with properties calculated at the PBEsol level.

Computed properties:
**DOS at the Fermi energy**: 0.3191 states/eV/atom
**Space group**: Fm-3m
**Uncorrected formation energy**: 1.943 eV/atom

Cell: 4.1904 4.1904 4.1904 Å, 60.00 60.00 60.00°
Fractional coordinates of all 4 atoms:
I 0.5000 0.5000 0.5000
As 0.0000 0.0000 0.0000
N 0.2500 0.2500 0.2500
N 0.7500 0.7500 0.7500



no.,DFT total energy (eV/atom)
1,-1.95
2,-2.94
3,-4.43
4,-4.04